This record from Alexandria via LeMat-Bulk describes a relaxed structure of DyNpS3. The functional is GGA-PBE.

Unit cell a=7.7047 b=3.8941 c=7.7669 alpha=90.00 beta=93.77 gamma=90.00
Closest atoms and distances in Å follow each position.
Sites, in units of the cell vectors:
Dy1 0.2370 0.2500 0.3781  8 S 2.76-2.97
Dy2 0.7630 0.7500 0.6219  8 S 2.76-2.97
Np1 0.3190 0.2500 0.8533  6 S 2.65-2.77
Np2 0.6810 0.7500 0.1467  6 S 2.65-2.77
S1 0.0143 0.2500 0.6747  1 Np 2.65, 3 Dy 2.76-2.96
S2 0.3212 0.7500 0.1067  3 Np 2.77, 2 Dy 2.97
S3 0.3807 0.7500 0.6172  2 Np 2.74, 3 Dy 2.86-2.94
S4 0.6193 0.2500 0.3828  2 Np 2.74, 3 Dy 2.86-2.94
S5 0.6788 0.2500 0.8933  3 Np 2.77, 2 Dy 2.97
S6 0.9857 0.7500 0.3253  1 Np 2.65, 3 Dy 2.76-2.96

## Properties
As for the density of states at the Fermi level: 2.018 states/eV/atom. The calculation puts the volume at 233 Å³ per cell. Its symmetry is No. 11. The final energy comes out at -7.63 eV/atom. As for the uncorrected formation energy: -1.650 eV per atom.